Er5Pu after structural relaxation. Source: the Alexandria database, functional PBE-GGA.

a = 3.5329 Å, b = 6.6141 Å, c = 8.2835 Å
α = 103.40°, β = 90.00°, γ = 105.49°
Closest atoms and distances in Å follow each position.
Element x y z (fractional)
Er 0.3325 0.6651 0.6695  2 Pu 3.43, 10 Er 3.44-3.56
Pu 0.7241 0.4481 0.9450  10 Er 3.43-3.53, 2 Pu 3.53
Er 0.3860 0.7720 0.2747  10 Er 3.44-3.57, 2 Pu 3.48
Er 0.0025 0.0051 0.0001  9 Er 3.43-3.53, 3 Pu 3.45-3.47
Er 0.6656 0.3311 0.3309  11 Er 3.44-3.56, 1 Pu 3.45
Er 0.0559 0.1119 0.6132  10 Er 3.43-3.57, 2 Pu 3.53

Computed properties:
- DFT total energy (Ha/atom) = -0.22592
- DOS(E_F) (states/eV/atom) = 2.06
- formation energy from the elements (eV per atom) = 0.0435
- distance to the lowest polymorph of the same formula (kJ per mole of atoms) = 0.00